Entry 1:
VASP calculation (GGA-PBE) on Ac3HAu2 after structural relaxation.

Calculated values
Its total energy is -4.312 eV per atom. The density of states at the Fermi level comes out at 0.712 states/eV per atom.

a = 7.0957 Å, b = 7.0957 Å, c = 7.7377 Å
α = 103.29°, β = 103.29°, γ = 68.08°
Positions (direct):
Ac1 0.0839 0.9161 0.7500
Ac2 0.2879 0.4139 0.0285
Ac3 0.4139 0.2879 0.5285
Ac4 0.5861 0.7121 0.4715
Ac5 0.7121 0.5861 0.9715
Ac6 0.9161 0.0839 0.2500
H1 0.3997 0.6003 0.7500
H2 0.6003 0.3997 0.2500
Au1 0.0225 0.6356 0.3530
Au2 0.3644 0.9775 0.1470
Au3 0.6356 0.0225 0.8530
Au4 0.9775 0.3644 0.6470



Entry 2:
VASP calculation (GGA-PBE) on SbSBr after structural relaxation.

Calculated values
Its total energy is -3.731 eV per atom. Its uncorrected formation energy is -0.424 eV/atom.

a = 4.0346 Å, b = 7.1804 Å, c = 7.3890 Å
α = 95.07°, β = 93.30°, γ = 106.30°
Positions (direct):
Sb1 0.2363 0.4918 0.2830
Sb2 0.7637 0.5082 0.7170
S1 0.3671 0.7100 0.5771
S2 0.6329 0.2900 0.4229
Br1 0.1650 0.2424 0.8450
Br2 0.8350 0.7576 0.1550



Entry 3:
VASP calculation (GGA-PBE) on TlP3Au after structural relaxation.

Calculated values
Its total energy is -2.677 eV per atom. The density of states at the Fermi level comes out at 1.636 states/eV per atom.

a = 5.0855 Å, b = 5.0855 Å, c = 5.0855 Å
α = 90.00°, β = 90.00°, γ = 90.00°
Positions (direct):
Tl1 0.0000 0.0000 0.0000
P1 0.0000 0.0000 0.5000
P2 0.0000 0.5000 0.0000
P3 0.5000 0.0000 0.0000
Au1 0.5000 0.5000 0.5000